[1]
VASP calculation (GGA-PBE) on a geometry-optimized BRuCl2 structure.

Cell: 5.8236 5.8236 6.3499 Å, 62.71 62.71 90.00°
Element x y z (fractional)
Ru (0.0000, 0.0000, 0.0000)
B (0.5000, 0.5000, 0.0000)
B (0.2500, 0.7500, 0.5000)
Cl (0.3750, 0.3564, 0.7500)
Cl (0.8750, 0.8936, 0.7500)
Ru (0.7500, 0.2500, 0.5000)
Cl (0.6436, 0.1250, 0.2500)
Cl (0.1064, 0.6250, 0.2500)

Computed properties:
V ... 82.0 Å³/f.u.
Formation energy from raw total energies ... 1.31 eV/atom
Magnetization ... 0.000 μB/atom
Total energy ... -3.606 eV per atom
Space-group type ... I-42d (122)
Mass density ... 3.70 g/cm³

***

[2]
VASP calculation (GGA-PBE) on a geometry-optimized BRuSCl2 structure.

Cell: 4.1966 4.1966 4.5542 Å, 90.00 90.00 90.00°
Each line ends with the local moment (μB).
Element x y z (fractional)
Ru (0.5000, 0.5000, 0.5000)  2.73
Cl (0.0000, 0.5000, 0.0000)  0.11
B (0.0000, 0.0000, 0.0000)  -0.03
Cl (0.5000, 0.0000, 0.0000)  0.11
S (0.0000, 0.0000, 0.5000)  0.11

Computed properties:
V ... 80.2 Å³/f.u.
Formation energy from raw total energies ... 0.99 eV/atom
Magnetization ... 0.659 μB/atom
Total energy ... -3.767 eV per atom
Space-group type ... P4/mmm (123)
Mass density ... 4.45 g/cm³

***

[3]
VASP calculation (GGA-PBE) on a geometry-optimized BRuSCl2 structure.

Cell: 4.9649 4.9649 4.3840 Å, 90.00 90.00 90.00°
Element x y z (fractional)
Cl (0.5000, 0.0000, 0.0000)
B (0.5000, 0.5000, 0.5000)
Ru (0.0000, 0.0000, 0.0000)
S (0.0000, 0.0000, 0.5000)
Cl (0.0000, 0.5000, 0.0000)

Computed properties:
V ... 108.1 Å³/f.u.
Formation energy from raw total energies ... 0.88 eV/atom
Magnetization ... 0.000 μB/atom
Total energy ... -3.878 eV per atom
Space-group type ... P4/mmm (123)
Mass density ... 3.30 g/cm³

***

[4]
VASP calculation (GGA-PBE) on a geometry-optimized Tl2BRuCl structure.

Cell: 4.8884 4.5008 4.8884 Å, 90.00 90.00 90.00°
Each line ends with the local moment (μB).
Element x y z (fractional)
Cl (0.0000, 0.5000, 0.0000)  0.04
B (0.0000, 0.0000, 0.0000)  -0.01
Ru (0.5000, 0.5000, 0.5000)  2.13
Tl (0.0000, 0.0000, 0.5000)  -0.02
Tl (0.5000, 0.0000, 0.0000)  -0.01

Computed properties:
V ... 107.6 Å³/f.u.
Formation energy from raw total energies ... 1.21 eV/atom
Magnetization ... 0.468 μB/atom
Total energy ... -3.293 eV per atom
Space-group type ... P4/mmm (123)
Mass density ... 8.59 g/cm³

***

[5]
VASP calculation (GGA-PBE) on a geometry-optimized TlBRuCl2 structure.

Cell: 5.6536 5.6536 4.2438 Å, 90.00 90.00 90.00°
Each line ends with the local moment (μB).
Element x y z (fractional)
Cl (0.0000, 0.5000, 0.0000)  0.02
Tl (0.0000, 0.0000, 0.0000)  0.00
Cl (0.5000, 0.0000, 0.0000)  0.02
Ru (0.5000, 0.5000, 0.5000)  2.73
B (0.0000, 0.0000, 0.5000)  -0.07

Computed properties:
V ... 135.6 Å³/f.u.
Formation energy from raw total energies ... 1.37 eV/atom
Magnetization ... 0.590 μB/atom
Total energy ... -3.030 eV per atom
Space-group type ... P4/mmm (123)
Mass density ... 4.74 g/cm³

***

[6]
VASP calculation (GGA-PBE) on a geometry-optimized BRu2WCl structure.

Cell: 4.0719 4.3648 4.0719 Å, 90.00 90.00 90.00°
Element x y z (fractional)
B (0.0000, 0.0000, 0.0000)
Cl (0.0000, 0.5000, 0.0000)
Ru (0.0000, 0.0000, 0.5000)
W (0.5000, 0.5000, 0.5000)
Ru (0.5000, 0.0000, 0.0000)

Computed properties:
V ... 72.4 Å³/f.u.
Formation energy from raw total energies ... 1.31 eV/atom
Magnetization ... 0.000 μB/atom
Total energy ... -6.699 eV per atom
Space-group type ... P4/mmm (123)
Mass density ... 9.92 g/cm³

***

- Look up the V of the sixth one.
  72.4 Å³/f.u.

***

- What is the formula in the first record?
  BRuCl2

***

- Look up the mass density of the first one.
  3.70 g/cm³

***

- What is the total energy in the fifth record?
  -3.030 eV per atom